Entry 1:
Below is crystalline Re2SbP at its relaxed geometry, with properties calculated at the GGA-PBE level.

Results
- E (eV/atom) = -7.746
- space-group type = Pmmm (47)

Cell and atoms, written as extended XYZ:
```
4
Lattice="3.060 0.000 0.000 0.000 4.188 0.000 0.000 0.000 5.186" Properties=species:S:1:pos:R:3 pbc="T T T"
Re 0.000 0.000 0.000
Re 1.530 0.000 2.593
Sb 0.000 2.094 2.593
P 1.530 2.094 0.000
```


Entry 2:
Below is crystalline ReSb2P at its relaxed geometry, with properties calculated at the GGA-PBE level.

Results
- E (eV/atom) = -5.602
- space-group type = Pmmm (47)

Cell and atoms, written as extended XYZ:
```
4
Lattice="3.354 0.000 0.000 0.000 4.506 0.000 0.000 0.000 5.206" Properties=species:S:1:pos:R:3 pbc="T T T"
Re 0.000 0.000 0.000
Sb 0.000 2.253 2.603
Sb 1.677 2.253 0.000
P 1.677 0.000 2.603
```


Entry 3:
Below is crystalline ReSb2P at its relaxed geometry, with properties calculated at the GGA-PBE level.

Results
- E (eV/atom) = -5.811
- space-group type = C2/m (12)

Cell and atoms, written as extended XYZ:
```
4
Lattice="4.518 -1.687 0.000 4.518 1.687 0.000 -0.948 0.000 5.226" Properties=species:S:1:pos:R:3 pbc="T T T"
Re 0.000 0.000 0.000
Sb 1.716 0.000 4.010
Sb 6.371 0.000 1.217
P 4.044 0.000 2.613
```


Entry 4:
Below is crystalline Re2SbP at its relaxed geometry, with properties calculated at the GGA-PBE level.

Results
- E (eV/atom) = -8.422
- space-group type = Pmm2 (25)

Cell and atoms, written as extended XYZ:
```
4
Lattice="3.102 0.000 0.000 0.000 4.483 0.000 0.000 0.000 4.804" Properties=species:S:1:pos:R:3 pbc="T T T"
Re 0.000 0.000 0.000
Re 1.551 2.241 0.915
Sb 0.000 2.241 3.265
P 1.551 0.000 1.839
```


Entry 5:
Below is crystalline Re2SbP at its relaxed geometry, with properties calculated at the GGA-PBE level.

Results
- E (eV/atom) = -8.487
- space-group type = Cm (8)

Cell and atoms, written as extended XYZ:
```
4
Lattice="4.218 -1.558 0.000 4.218 1.558 0.000 -1.595 0.000 5.172" Properties=species:S:1:pos:R:3 pbc="T T T"
Re 0.000 0.000 0.000
Re 1.025 0.000 3.313
Sb 6.114 0.000 1.232
P 3.392 0.000 3.537
```


Entry 6:
Below is crystalline ReSb2P at its relaxed geometry, with properties calculated at the GGA-PBE level.

Results
- E (eV/atom) = -5.779
- space-group type = C2/m (12)

Cell and atoms, written as extended XYZ:
```
4
Lattice="3.191 -3.774 0.000 3.191 3.774 0.000 -0.863 0.000 3.227" Properties=species:S:1:pos:R:3 pbc="T T T"
Re 0.000 0.000 0.000
Sb 1.164 1.887 1.614
Sb 1.164 -1.887 1.614
P 3.191 0.000 0.000
```